(1)
# DyAuSe2 PBE-GGA optimized geometry
data_DyAuSe2
_symmetry_space_group_name_H-M 'P 1'
_symmetry_Int_Tables_number 1
_symmetry_space_group_name_Hall 'P 1'
_cell_length_a 4.4285
_cell_length_b 4.4292
_cell_length_c 7.7490
_cell_angle_alpha 73.47
_cell_angle_beta 73.49
_cell_angle_gamma 59.96
loop_
_atom_site_label
_atom_site_fract_x
_atom_site_fract_y
_atom_site_fract_z
Se1 0.1040 0.5491 0.5859
Se2 0.5963 0.0415 0.1077
Au1 0.2830 0.7280 0.0484
Dy1 0.7211 0.1659 0.7364
# space group: Cm (8)
# uncorrected formation energy: -3.96 eV/f.u.

(2)
# InGaGe2I PBE-GGA optimized geometry
data_InGaGe2I
_symmetry_space_group_name_H-M 'P 1'
_symmetry_Int_Tables_number 1
_symmetry_space_group_name_Hall 'P 1'
_cell_length_a 5.2770
_cell_length_b 6.2803
_cell_length_c 5.2770
_cell_angle_alpha 90.00
_cell_angle_beta 90.00
_cell_angle_gamma 90.00
loop_
_atom_site_label
_atom_site_fract_x
_atom_site_fract_y
_atom_site_fract_z
Ga1 0.5000 0.5000 0.5000
In1 0.0000 0.0000 0.0000
Ge1 0.5000 0.0000 0.0000
Ge2 0.0000 0.0000 0.5000
I1 0.0000 0.5000 0.0000
# space group: P4/mmm (123)
# uncorrected formation energy: 3.15 eV/f.u.

(3)
# LiVCl2 PBE-GGA optimized geometry
data_LiVCl2
_symmetry_space_group_name_H-M 'P 1'
_symmetry_Int_Tables_number 1
_symmetry_space_group_name_Hall 'P 1'
_cell_length_a 7.8602
_cell_length_b 7.8602
_cell_length_c 7.8602
_cell_angle_alpha 25.91
_cell_angle_beta 25.91
_cell_angle_gamma 25.91
loop_
_atom_site_label
_atom_site_fract_x
_atom_site_fract_y
_atom_site_fract_z
Cl1 0.1032 0.1032 0.1032
Cl2 0.8968 0.8968 0.8968
V1 0.0000 0.0000 0.0000
Li1 0.5000 0.5000 0.5000
# energy above the lowest structure with this stoichiometry: 0 meV per atom
# space group: R-3m (166)
# uncorrected formation energy: -3.30 eV/f.u.

(4)
# In2PtPb PBE-GGA optimized geometry
data_In2PtPb
_symmetry_space_group_name_H-M 'P 1'
_symmetry_Int_Tables_number 1
_symmetry_space_group_name_Hall 'P 1'
_cell_length_a 5.1650
_cell_length_b 5.1650
_cell_length_c 6.4098
_cell_angle_alpha 67.13
_cell_angle_beta 67.13
_cell_angle_gamma 41.32
loop_
_atom_site_label
_atom_site_fract_x
_atom_site_fract_y
_atom_site_fract_z
In1 0.7556 0.7556 0.7751
In2 0.9440 0.9440 0.1235
Pb1 0.5681 0.5681 0.4905
Pt1 0.2323 0.2323 0.1108
# energy relative to the elements: -0.1987 eV/atom
# space group: Cm (8)

(5)
# Ba2MgGeH PBE-GGA optimized geometry
data_Ba2MgGeH
_symmetry_space_group_name_H-M 'P 1'
_symmetry_Int_Tables_number 1
_symmetry_space_group_name_Hall 'P 1'
_cell_length_a 5.4587
_cell_length_b 5.4587
_cell_length_c 4.6615
_cell_angle_alpha 90.00
_cell_angle_beta 90.00
_cell_angle_gamma 90.00
loop_
_atom_site_label
_atom_site_fract_x
_atom_site_fract_y
_atom_site_fract_z
Ge1 0.5000 0.5000 0.5000
Mg1 0.0000 0.0000 0.5000
Ba1 0.0000 0.5000 0.0000
Ba2 0.5000 0.0000 0.0000
H1 0.0000 0.0000 0.0000
# E: -14.77 eV per formula unit
# space group: P4/mmm (123)

(6)
# TlZnCo2 PBE-GGA optimized geometry
data_TlZnCo2
_symmetry_space_group_name_H-M 'P 1'
_symmetry_Int_Tables_number 1
_symmetry_space_group_name_Hall 'P 1'
_cell_length_a 5.1167
_cell_length_b 5.1167
_cell_length_c 5.1167
_cell_angle_alpha 143.48
_cell_angle_beta 130.64
_cell_angle_gamma 62.93
loop_
_atom_site_label
_atom_site_fract_x
_atom_site_fract_y
_atom_site_fract_z
Co1 0.2264 0.7264 0.5000
Co2 0.0175 0.0175 0.0000
Zn1 0.7664 0.2664 0.5000
Tl1 0.4898 0.4898 0.0000
# energy relative to the elements: 0.3951 eV/atom
# energy above the lowest structure with this stoichiometry: 97 meV per atom
# space group: Imm2 (44)